AcSi: relaxed, PBE.

Lattice parameters (Å, degrees): 4.381 4.381 23.838 90.00 90.00 90.00
Space group I4_1/amd (No. 141, origin choice 2)
Asymmetric unit:
Ac  0.000  0.250  0.072 [8 per cell]
Si  0.000  0.250  0.220 [8 per cell]



MgZrSe2N: relaxed, PBE.

Values from the calculation:
ΔE to the lowest computed polymorph: 5.50 eV/f.u.

Lattice parameters (Å, degrees): 5.163 5.163 5.998 90.00 90.00 90.00
Space group P4/mmm (No. 123)
Asymmetric unit:
Mg  0.000  0.000  0.000 [1 per cell]
Zr  0.000  0.000  0.500 [1 per cell]
Se  0.000  0.500  0.500 [2 per cell]
N  0.500  0.500  0.000 [1 per cell]



La2Nd2HoEr: relaxed, PBE.

Values from the calculation:
ΔE_f: 56 meV per atom

Lattice parameters (Å, degrees): 5.754 9.983 7.123 90.00 90.00 90.00
Space group Pmc2_1 (No. 26)
Asymmetric unit:
La  0.000  0.000  0.000 [2 per cell]
La  0.500  0.177  0.250 [2 per cell]
Nd  0.000  0.332  0.250 [2 per cell]
Nd  0.500  0.166  0.750 [2 per cell]
Ho  0.500  0.500  0.000 [2 per cell]
Er  0.000  0.343  0.750 [2 per cell]



Y2B3C4: relaxed, PBE.

Values from the calculation:
ΔE_f: 474 meV per atom

Lattice parameters (Å, degrees): 4.535 11.542 7.415 90.00 90.00 90.00
Space group Cmce (No. 64)
Asymmetric unit:
Y  0.000  0.126  0.081 [8 per cell]
B  0.000  0.000  0.500 [4 per cell]
B  0.250  0.188  0.750 [8 per cell]
C  0.000  0.241  0.340 [8 per cell]
C  0.250  0.046  0.750 [8 per cell]



Mg3Ga3Sn: relaxed, PBE.

Values from the calculation:
ΔE to the lowest computed polymorph: 0.00 eV/f.u.
ΔE_f: -87 meV per atom

Lattice parameters (Å, degrees): 9.366 9.611 6.582 90.00 90.00 90.00
Space group Cmmm (No. 65)
Asymmetric unit:
Mg  0.000  0.000  0.242 [4 per cell]
Mg  0.250  0.250  0.235 [8 per cell]
Ga  0.000  0.258  0.000 [4 per cell]
Ga  0.000  0.265  0.500 [4 per cell]
Ga  0.165  0.500  0.000 [4 per cell]
Sn  0.216  0.500  0.500 [4 per cell]



Tb2ErTmSc5: relaxed, PBE.

Values from the calculation:
ΔE_f: 164 meV per atom

Lattice parameters (Å, degrees): 5.313 18.458 10.314 90.00 90.00 90.00
Space group Cmc2_1 (No. 36)
Asymmetric unit:
Tb  0.000  0.108  0.000 [4 per cell]
Tb  0.000  0.113  0.590 [4 per cell]
Er  0.000  0.417  0.730 [4 per cell]
Tm  0.000  0.207  0.278 [4 per cell]
Sc  0.000  0.021  0.300 [4 per cell]
Sc  0.000  0.286  0.568 [4 per cell]
Sc  0.000  0.299  0.978 [4 per cell]
Sc  0.000  0.397  0.290 [4 per cell]
Sc  0.000  0.479  0.003 [4 per cell]



ZrGaPb: relaxed, PBE.

Values from the calculation:
ΔE to the lowest computed polymorph: 0.14 eV/f.u.
ΔE_f: -152 meV per atom

Lattice parameters (Å, degrees): 9.571 5.639 5.936 90.00 122.84 90.00
Space group C2 (No. 5)
Asymmetric unit:
Zr  0.175  0.000  0.035 [4 per cell]
Ga  0.150  0.168  0.502 [4 per cell]
Pb  0.000  0.488  0.000 [2 per cell]
Pb  0.000  0.708  0.500 [2 per cell]



MgCuPb2: relaxed, PBE.

Values from the calculation:
ΔE_f: 167 meV per atom

Lattice parameters (Å, degrees): 4.347 4.347 10.110 90.00 90.00 90.00
Space group I-4m2 (No. 119)
Asymmetric unit:
Mg  0.000  0.000  0.000 [2 per cell]
Cu  0.000  0.500  0.250 [2 per cell]
Pb  0.000  0.000  0.500 [2 per cell]
Pb  0.000  0.500  0.750 [2 per cell]



Al2FeBr: relaxed, PBE.

Values from the calculation:
ΔE to the lowest computed polymorph: 3.03 eV/f.u.

Lattice parameters (Å, degrees): 6.651 6.651 6.651 90.00 90.00 90.00
Space group F-43m (No. 216)
Asymmetric unit:
Al  0.000  0.000  0.000 [4 per cell]
Al  0.250  0.250  0.250 [4 per cell]
Fe  0.250  0.250  0.750 [4 per cell]
Br  0.000  0.000  0.500 [4 per cell]



Tc3Pb: relaxed, PBE.

Values from the calculation:
ΔE to the lowest computed polymorph: 0.52 eV/f.u.
ΔE_f: 611 meV per atom

Lattice parameters (Å, degrees): 6.438 6.438 6.438 90.00 90.00 90.00
Space group Fm-3m (No. 225)
Asymmetric unit:
Tc  0.000  0.000  0.000 [4 per cell]
Tc  0.250  0.250  0.250 [8 per cell]
Pb  0.000  0.000  0.500 [4 per cell]



NdYSbAs: relaxed, PBE.

Lattice parameters (Å, degrees): 4.3143 4.3143 21.3346 90.00 90.00 120.00
Space group R3m (No. 160, hexagonal axes)
Asymmetric unit:
Nd  0.0000  0.0000  0.0000 [3 per cell]
Y  0.0000  0.0000  0.5111 [3 per cell]
Sb  0.0000  0.0000  0.7585 [3 per cell]
As  0.0000  0.0000  0.2530 [3 per cell]



Co3SiMo: relaxed, PBE.

Values from the calculation:
ΔE to the lowest computed polymorph: 4.21 eV/f.u.

Lattice parameters (Å, degrees): 4.116 4.116 4.116 90.00 90.00 90.00
Space group Pm-3m (No. 221)
Asymmetric unit:
Co  0.000  0.000  0.500 [3 per cell]
Si  0.000  0.000  0.000 [1 per cell]
Mo  0.500  0.500  0.500 [1 per cell]



TaVW2: relaxed, PBE.

Values from the calculation:
ΔE to the lowest computed polymorph: 3.54 eV/f.u.
ΔE_f: 823 meV per atom

Lattice parameters (Å, degrees): 3.713 3.713 20.145 90.00 90.00 90.00
Space group I-42d (No. 122)
Asymmetric unit:
Ta  0.000  0.000  0.000 [4 per cell]
V  0.000  0.000  0.500 [4 per cell]
W  0.248  0.250  0.625 [8 per cell]



BaMnCr2: relaxed, PBE.

Values from the calculation:
ΔE to the lowest computed polymorph: 1.90 eV/f.u.
ΔE_f: 1088 meV per atom

Lattice parameters (Å, degrees): 3.553 5.019 5.070 90.00 90.00 90.00
Space group Pmmm (No. 47)
Asymmetric unit:
Ba  0.000  0.000  0.000 [1 per cell]
Mn  0.500  0.500  0.000 [1 per cell]
Cr  0.000  0.500  0.500 [1 per cell]
Cr  0.500  0.000  0.500 [1 per cell]



Zr3Zn11: relaxed, PBE.

Values from the calculation:
ΔE_f: -220 meV per atom

Lattice parameters (Å, degrees): 4.158 9.148 12.014 90.00 90.00 90.00
Space group Immm (No. 71)
Asymmetric unit:
Zr  0.000  0.000  0.000 [2 per cell]
Zr  0.000  0.000  0.293 [4 per cell]
Zn  0.000  0.179  0.500 [4 per cell]
Zn  0.000  0.281  0.142 [8 per cell]
Zn  0.000  0.367  0.347 [8 per cell]
Zn  0.000  0.500  0.000 [2 per cell]



Zn3PtS: relaxed, PBE.

Values from the calculation:
ΔE to the lowest computed polymorph: 1.41 eV/f.u.

Lattice parameters (Å, degrees): 4.544 4.544 4.544 90.00 90.00 90.00
Space group Pm-3m (No. 221)
Asymmetric unit:
Zn  0.000  0.000  0.500 [3 per cell]
Pt  0.500  0.500  0.500 [1 per cell]
S  0.000  0.000  0.000 [1 per cell]



no.,electronic total energy (eV per atom),magnetization (μB/f.u.)
1,-5.290,0.11
2,-4.353,2.90
3,-4.700,0.00
4,-7.288,0.00
5,-2.640,0.00
6,-5.387,0.00
7,-5.247,0.00
8,-3.110,0.00
9,-3.725,2.38
10,-8.091,1.53
11,-6.338,0.00
12,-6.788,4.78
13,-10.897,0.00
14,-6.497,3.66
15,-3.053,0.00
16,-2.330,0.00